Record 1
NdHPd | PBE-GGA | relaxed

## Properties
D(E_F)   3.39 states/eV per cell
Spin magnetization   0.0 μB per cell
Electronic total energy   -14.33 eV per formula unit

a = 4.023 Å, b = 4.023 Å, c = 7.278 Å
α = 90.00°, β = 90.00°, γ = 90.00°
Space group I4mm (No. 107)
One atom of each set of equivalent atoms:
Nd (0.000, 0.000, 0.000) (multiplicity 2)
H (0.000, 0.000, 0.345) (multiplicity 2)
Pd (0.000, 0.000, 0.578) (multiplicity 2)

Record 2
TiIr3Rh | PBE-GGA | relaxed

## Properties
D(E_F)   7.93 states/eV per cell
Spin magnetization   1.9 μB per cell
Electronic total energy   -35.19 eV per formula unit

a = 4.522 Å, b = 4.522 Å, c = 4.522 Å
α = 90.00°, β = 90.00°, γ = 90.00°
Space group Pm-3m (No. 221)
One atom of each set of equivalent atoms:
Ti (0.000, 0.000, 0.000) (multiplicity 1)
Ir (0.000, 0.000, 0.500) (multiplicity 3)
Rh (0.500, 0.500, 0.500) (multiplicity 1)